Below is a crystal of Ga3NiN relaxed with PBEsol, with properties calculated at the SCAN level.

Cell: 4.093 4.093 4.093 Å, 90.00 90.00 90.00°
Element x y z (fractional)
Ga 0.000 0.000 0.500
Ni 0.500 0.500 0.500
Ga 0.500 0.000 0.000
N 0.000 0.000 0.000
Ga 0.000 0.500 0.000

Computed properties:
VASP energy: -71.35 eV/cell
energy relative to the elements, uncorrected: 632 meV per atom

=====

Below is a crystal of GaNi3N relaxed with PBEsol, with properties calculated at the SCAN level.

Cell: 3.725 3.725 3.725 Å, 90.00 90.00 90.00°
Element x y z (fractional)
Ni 0.000 0.000 0.500
Ni 0.500 0.000 0.000
Ga 0.500 0.500 0.500
Ni 0.000 0.500 0.000
N 0.000 0.000 0.000

Computed properties:
VASP energy: -75.00 eV/cell
energy relative to the elements, uncorrected: -168 meV per atom

=====

Below is a crystal of GaNiN2 relaxed with PBEsol, with properties calculated at the SCAN level.

Cell: 2.891 2.891 5.905 Å, 75.83 75.83 60.00°
Element x y z (fractional)
N 0.889 0.889 0.334
Ni 0.500 0.500 0.500
N 0.111 0.111 0.666
Ga 0.000 0.000 0.000

Computed properties:
VASP energy: -49.64 eV/cell
energy relative to the elements, uncorrected: 366 meV per atom

=====

Below is a crystal of Ga3NO relaxed with PBEsol, with properties calculated at the SCAN level.

Cell: 4.198 4.198 4.198 Å, 90.00 90.00 90.00°
Element x y z (fractional)
N 0.000 0.000 0.000
Ga 0.000 0.500 0.000
O 0.500 0.500 0.500
Ga 0.000 0.000 0.500
Ga 0.500 0.000 0.000

Computed properties:
VASP energy: -61.29 eV/cell
energy relative to the elements, uncorrected: 655 meV per atom

=====

Below is a crystal of SrGaNO2 relaxed with PBEsol, with properties calculated at the SCAN level.

Cell: 3.860 3.987 3.987 Å, 90.00 90.00 90.00°
Each line ends with the local moment (μB).
Element x y z (fractional)
O 0.000 0.500 0.000  0.27
Sr 0.500 0.500 0.500  0.00
O 0.000 0.000 0.500  0.27
Ga 0.000 0.000 0.000  -0.03
N 0.500 0.000 0.000  1.02

Computed properties:
VASP energy: -67.05 eV/cell
energy relative to the elements, uncorrected: -1336 meV per atom

=====

Below is a crystal of GaTeN2O relaxed with PBEsol, with properties calculated at the SCAN level.

Cell: 3.882 4.001 4.001 Å, 90.00 90.00 90.00°
Element x y z (fractional)
N 0.000 0.500 0.000
Ga 0.500 0.500 0.500
Te 0.000 0.000 0.000
O 0.500 0.000 0.000
N 0.000 0.000 0.500

Computed properties:
VASP energy: -74.37 eV/cell
energy relative to the elements, uncorrected: 808 meV per atom

=====

Below is a crystal of ZnGaN2O relaxed with PBEsol, with properties calculated at the SCAN level.

Cell: 3.804 3.885 3.885 Å, 90.00 90.00 90.00°
Each line ends with the local moment (μB).
Element x y z (fractional)
Zn 0.500 0.500 0.500  -0.10
N 0.000 0.500 0.000  1.01
O 0.500 0.000 0.000  0.40
Ga 0.000 0.000 0.000  -0.02
N 0.000 0.000 0.500  1.01

Computed properties:
VASP energy: -50.91 eV/cell
energy relative to the elements, uncorrected: 754 meV per atom

=====

Below is a crystal of GaOsSeN2 relaxed with PBEsol, with properties calculated at the SCAN level.

Cell: 3.662 3.662 5.695 Å, 90.00 90.00 90.00°
Each line ends with the local moment (μB).
Element x y z (fractional)
Se 0.000 0.000 0.500  0.14
N 0.500 0.000 0.000  0.99
N 0.000 0.500 0.000  0.99
Os 0.500 0.500 0.500  2.00
Ga 0.000 0.000 0.000  -0.01

Computed properties:
VASP energy: -117.61 eV/cell
energy relative to the elements, uncorrected: 1856 meV per atom

=====

Below is a crystal of GaPt3N relaxed with PBEsol, with properties calculated at the SCAN level.

Cell: 4.583 4.583 4.583 Å, 90.00 90.00 90.00°
Each line ends with the local moment (μB).
Element x y z (fractional)
Pt 0.000 0.000 0.500  0.16
Ga 0.000 0.000 0.000  -0.05
Pt 0.500 0.000 0.000  0.16
Pt 0.000 0.500 0.000  0.16
N 0.500 0.500 0.500  1.71

Computed properties:
VASP energy: -227.16 eV/cell
energy relative to the elements, uncorrected: 1811 meV per atom

=====

Below is a crystal of Rb2GaN relaxed with PBEsol, with properties calculated at the SCAN level.

Cell: 5.235 5.235 5.235 Å, 60.00 60.00 60.00°
Each line ends with the local moment (μB).
Element x y z (fractional)
Rb 0.250 0.250 0.250  -0.07
N 0.000 0.000 0.000  0.82
Ga 0.500 0.500 0.500  -0.33
Rb 0.750 0.750 0.750  -0.07

Computed properties:
VASP energy: -63.24 eV/cell
energy relative to the elements, uncorrected: 969 meV per atom

=====

Below is a crystal of RbGaN2 relaxed with PBEsol, with properties calculated at the SCAN level.

Cell: 4.306 4.306 7.145 Å, 72.46 72.46 60.00°
Each line ends with the local moment (μB).
Element x y z (fractional)
Rb 0.500 0.500 0.500  0.02
N 0.086 0.086 0.741  0.75
Ga 0.000 0.000 0.000  -0.10
N 0.914 0.914 0.259  0.75

Computed properties:
VASP energy: -52.01 eV/cell
energy relative to the elements, uncorrected: 914 meV per atom

=====

Below is a crystal of RbGaSeN2 relaxed with PBEsol, with properties calculated at the SCAN level.

Cell: 5.110 5.110 6.413 Å, 90.00 90.00 90.00°
Each line ends with the local moment (μB).
Element x y z (fractional)
Ga 0.500 0.500 0.500  0.00
Se 0.000 0.000 0.500  0.42
N 0.500 0.000 0.000  1.78
N 0.000 0.500 0.000  1.78
Rb 0.000 0.000 0.000  0.12

Computed properties:
VASP energy: -66.39 eV/cell
energy relative to the elements, uncorrected: 1872 meV per atom
polymorph energy (0 for the lowest one): 1080 meV/atom

=====

Below is a crystal of RbGaSeN2 relaxed with PBEsol, with properties calculated at the SCAN level.

Cell: 4.296 4.296 5.067 Å, 90.00 90.00 90.00°
Each line ends with the local moment (μB).
Element x y z (fractional)
N 0.000 0.500 0.000  1.23
N 0.500 0.000 0.000  1.23
Ga 0.000 0.000 0.000  -0.09
Se 0.000 0.000 0.500  0.37
Rb 0.500 0.500 0.500  0.02

Computed properties:
VASP energy: -71.79 eV/cell
energy relative to the elements, uncorrected: 792 meV per atom
polymorph energy (0 for the lowest one): 0 meV/atom

=====

Below is a crystal of RbGaTe2N relaxed with PBEsol, with properties calculated at the SCAN level.

Cell: 3.444 6.278 6.278 Å, 90.00 90.00 90.00°
Each line ends with the local moment (μB).
Element x y z (fractional)
Te 0.000 0.500 0.000  -0.22
N 0.500 0.000 0.000  -0.53
Rb 0.500 0.500 0.500  0.00
Te 0.000 0.000 0.500  -0.22
Ga 0.000 0.000 0.000  0.05

Computed properties:
VASP energy: -120.30 eV/cell
energy relative to the elements, uncorrected: 117 meV per atom

=====

Below is a crystal of GaReN3 relaxed with PBEsol, with properties calculated at the SCAN level.

Cell: 3.747 3.747 3.747 Å, 90.00 90.00 90.00°
Each line ends with the local moment (μB).
Element x y z (fractional)
Re 0.500 0.500 0.500  2.72
N 0.000 0.500 0.000  -0.58
N 0.000 0.000 0.500  -0.58
N 0.500 0.000 0.000  -0.58
Ga 0.000 0.000 0.000  -0.05

Computed properties:
VASP energy: -105.53 eV/cell
energy relative to the elements, uncorrected: 1958 meV per atom

=====

Below is a crystal of GaReS2N relaxed with PBEsol, with properties calculated at the SCAN level.

Cell: 3.461 4.737 4.737 Å, 90.00 90.00 90.00°
Each line ends with the local moment (μB).
Element x y z (fractional)
S 0.000 0.000 0.500  0.05
Ga 0.000 0.000 0.000  0.01
S 0.000 0.500 0.000  0.05
N 0.500 0.000 0.000  0.86
Re 0.500 0.500 0.500  2.18

Computed properties:
VASP energy: -109.09 eV/cell
energy relative to the elements, uncorrected: 1381 meV per atom

=====

Below is a crystal of GaReSN2 relaxed with PBEsol, with properties calculated at the SCAN level.

Cell: 3.820 3.820 4.955 Å, 90.00 90.00 90.00°
Element x y z (fractional)
N 0.500 0.000 0.000
N 0.000 0.500 0.000
Ga 0.500 0.500 0.500
S 0.000 0.000 0.500
Re 0.000 0.000 0.000

Computed properties:
VASP energy: -113.81 eV/cell
energy relative to the elements, uncorrected: 369 meV per atom

=====

Below is a crystal of GaRu3N relaxed with PBEsol, with properties calculated at the SCAN level.

Cell: 4.451 4.451 4.451 Å, 90.00 90.00 90.00°
Each line ends with the local moment (μB).
Element x y z (fractional)
Ru 0.500 0.000 0.000  1.60
Ru 0.000 0.500 0.000  1.60
N 0.500 0.500 0.500  -1.25
Ru 0.000 0.000 0.500  1.60
Ga 0.000 0.000 0.000  -0.09

Computed properties:
VASP energy: -116.96 eV/cell
energy relative to the elements, uncorrected: 2631 meV per atom
polymorph energy (0 for the lowest one): 2563 meV/atom

=====

Below is a crystal of GaRu3N relaxed with PBEsol, with properties calculated at the SCAN level.

Cell: 3.964 3.964 3.964 Å, 90.00 90.00 90.00°
Element x y z (fractional)
Ru 0.000 0.500 0.000
N 0.000 0.000 0.000
Ru 0.000 0.000 0.500
Ga 0.500 0.500 0.500
Ru 0.500 0.000 0.000

Computed properties:
VASP energy: -129.77 eV/cell
energy relative to the elements, uncorrected: 68 meV per atom
polymorph energy (0 for the lowest one): 0 meV/atom

=====

Below is a crystal of GaRuSN2 relaxed with PBEsol, with properties calculated at the SCAN level.

Cell: 3.681 3.681 4.959 Å, 90.00 90.00 90.00°
Each line ends with the local moment (μB).
Element x y z (fractional)
S 0.000 0.000 0.500  0.21
Ru 0.500 0.500 0.500  2.53
Ga 0.000 0.000 0.000  0.01
N 0.500 0.000 0.000  0.91
N 0.000 0.500 0.000  0.91

Computed properties:
VASP energy: -71.97 eV/cell
energy relative to the elements, uncorrected: 1483 meV per atom

=====

Below is a crystal of GaTe2RuN relaxed with PBEsol, with properties calculated at the SCAN level.

Cell: 3.590 5.448 5.448 Å, 90.00 90.00 90.00°
Element x y z (fractional)
Te 0.000 0.000 0.500
Ga 0.500 0.500 0.500
N 0.500 0.000 0.000
Te 0.000 0.500 0.000
Ru 0.000 0.000 0.000

Computed properties:
VASP energy: -133.68 eV/cell
energy relative to the elements, uncorrected: 258 meV per atom

=====

Below is a crystal of GaS2N2 relaxed with PBEsol, with properties calculated at the SCAN level.

Cell: 3.780 3.943 3.943 Å, 90.00 90.00 90.00°
Element x y z (fractional)
Ga 0.500 0.500 0.500
S 0.000 0.500 0.000
N 0.500 0.000 0.000
S 0.000 0.000 0.500
N 0.000 0.000 0.000

Computed properties:
VASP energy: -45.87 eV/cell
energy relative to the elements, uncorrected: 1663 meV per atom

=====

Below is a crystal of GaSnSN2 relaxed with PBEsol, with properties calculated at the SCAN level.

Cell: 4.070 4.070 5.284 Å, 90.00 90.00 90.00°
Each line ends with the local moment (μB).
Element x y z (fractional)
Sn 0.000 0.000 0.000  -0.10
S 0.000 0.000 0.500  0.12
N 0.000 0.500 0.000  0.88
Ga 0.500 0.500 0.500  0.03
N 0.500 0.000 0.000  0.88

Computed properties:
VASP energy: -74.90 eV/cell
energy relative to the elements, uncorrected: 1115 meV per atom

=====

Below is a crystal of TaGaS2N relaxed with PBEsol, with properties calculated at the SCAN level.

Cell: 3.522 4.679 4.679 Å, 90.00 90.00 90.00°
Each line ends with the local moment (μB).
Element x y z (fractional)
Ta 0.500 0.500 0.500  -0.99
Ga 0.000 0.000 0.000  -0.03
S 0.000 0.000 0.500  0.12
S 0.000 0.500 0.000  0.12
N 0.500 0.000 0.000  0.70

Computed properties:
VASP energy: -107.68 eV/cell
energy relative to the elements, uncorrected: 759 meV per atom

=====

Below is a crystal of GaSbSe2N relaxed with PBEsol, with properties calculated at the SCAN level.

Cell: 3.955 5.298 5.298 Å, 90.00 90.00 90.00°
Each line ends with the local moment (μB).
Element x y z (fractional)
N 0.500 0.000 0.000  0.48
Se 0.000 0.500 0.000  0.17
Se 0.000 0.000 0.500  0.17
Sb 0.000 0.000 0.000  -0.07
Ga 0.500 0.500 0.500  0.03

Computed properties:
VASP energy: -99.42 eV/cell
energy relative to the elements, uncorrected: 726 meV per atom

=====

Below is a crystal of GaSb2TeN relaxed with PBEsol, with properties calculated at the SCAN level.

Cell: 5.224 5.224 5.373 Å, 90.00 90.00 90.00°
Each line ends with the local moment (μB).
Element x y z (fractional)
Ga 0.000 0.000 0.000  -0.01
Te 0.000 0.000 0.500  0.04
Sb 0.500 0.000 0.000  -0.02
Sb 0.000 0.500 0.000  -0.02
N 0.500 0.500 0.500  1.81

Computed properties:
VASP energy: -130.24 eV/cell
energy relative to the elements, uncorrected: 1434 meV per atom

=====

Below is a crystal of Sc2Ga2N relaxed with PBEsol, with properties calculated at the SCAN level.

Cell: 4.940 4.940 4.940 Å, 102.65 112.99 112.99°
Element x y z (fractional)
Sc 0.500 0.250 0.750
N 0.000 0.000 0.000
Ga 0.000 0.311 0.311
Sc 0.500 0.750 0.250
Ga 0.000 0.689 0.689

Computed properties:
VASP energy: -68.75 eV/cell
energy relative to the elements, uncorrected: 342 meV per atom

=====

Below is a crystal of Sc2GaN relaxed with PBEsol, with properties calculated at the SCAN level.

Cell: 4.428 4.428 4.428 Å, 60.00 60.00 60.00°
Element x y z (fractional)
Ga 0.500 0.500 0.500
Sc 0.250 0.250 0.250
N 0.000 0.000 0.000
Sc 0.750 0.750 0.750

Computed properties:
VASP energy: -54.22 eV/cell
energy relative to the elements, uncorrected: -27 meV per atom

=====

Below is a crystal of ScGaN3 relaxed with PBEsol, with properties calculated at the SCAN level.

Cell: 4.108 4.108 4.108 Å, 90.00 90.00 90.00°
Each line ends with the local moment (μB).
Element x y z (fractional)
Sc 0.000 0.000 0.000  -0.01
N 0.000 0.500 0.000  1.12
N 0.500 0.000 0.000  1.12
Ga 0.500 0.500 0.500  0.16
N 0.000 0.000 0.500  1.12

Computed properties:
VASP energy: -53.34 eV/cell
energy relative to the elements, uncorrected: 1024 meV per atom